DFT (PBE-GGA) results for a geometry-optimized Eu2Ga2O5 structure.

Results
- Energy relative to the elements, uncorrected: -2.252 eV per atom
- Spin magnetization: 13.58 μB per formula unit
- SG: P4/mmm, No. 123

Unit cell a=3.938 b=3.938 c=7.576 alpha=90.00 beta=90.00 gamma=90.00
Atoms (fractional coordinates):
Eu (0.000, 0.000, 0.000)
Eu (0.000, 0.000, 0.500)
Ga (0.500, 0.500, 0.250)
Ga (0.500, 0.500, 0.750)
O (0.000, 0.500, 0.215)
O (0.000, 0.500, 0.785)
O (0.500, 0.000, 0.215)
O (0.500, 0.000, 0.785)
O (0.500, 0.500, 0.500)

DFT (PBE-GGA) results for a geometry-optimized MnCrCu2 structure.

Results
- Energy of formation: 4.53 kcal/mol of atoms
- Spin magnetization: 0.42 μB per formula unit
- SG: F-43m, No. 216

Unit cell a=4.162 b=4.162 c=4.162 alpha=60.00 beta=60.00 gamma=60.00
Atoms (fractional coordinates):
Mn (0.000, 0.000, 0.000)
Cr (0.250, 0.250, 0.250)
Cu (0.500, 0.500, 0.500)
Cu (0.750, 0.750, 0.750)

DFT (PBE-GGA) results for a geometry-optimized CaCuOs structure.

Results
- Energy of formation: 38.12 kcal/mol of atoms
- Spin magnetization: 1.40 μB per formula unit
- SG: F-43m, No. 216

Unit cell a=4.537 b=4.537 c=4.537 alpha=60.00 beta=60.00 gamma=60.00
Atoms (fractional coordinates):
Ca (0.000, 0.000, 0.000)
Cu (0.750, 0.750, 0.750)
Os (0.250, 0.250, 0.250)

DFT (PBE-GGA) results for a geometry-optimized NbS2Cl5 structure.

Results
- Energy relative to the elements, uncorrected: -0.793 eV per atom
- Spin magnetization: 2.00 μB per formula unit
- SG: P1, No. 1

Unit cell a=6.972 b=7.415 c=7.947 alpha=87.07 beta=64.64 gamma=62.76
Atoms (fractional coordinates):
Nb (0.000, 0.000, 0.000)
S (0.157, 0.470, 0.516)
S (0.862, 0.560, 0.505)
Cl (0.185, 0.925, 0.668)
Cl (0.336, 0.999, 0.986)
Cl (0.687, 0.299, 0.999)
Cl (0.815, 0.076, 0.332)
Cl (0.980, 0.699, 0.015)